(1)
The following is a DFT calculation (PBEsol) of crystalline CoP2RuCl at its relaxed geometry.

Properties
D(E_F) ... 3.90 states/eV per cell
Crystal system ... tetragonal
Uncorrected formation energy ... 0.819 eV/atom
SG ... P4/mmm

a = 4.1682 Å, b = 4.1682 Å, c = 4.4619 Å
α = 90.00°, β = 90.00°, γ = 90.00°
Last column: nearest neighbours and their distance in Å.
Positions (direct):
1 Co 0.0000 0.0000 0.0000  4 P 2.08, 2 Cl 2.23
2 P 0.0000 0.5000 0.0000  2 Co 2.08
3 P 0.5000 0.0000 0.0000  2 Co 2.08
4 Ru 0.5000 0.5000 0.5000  4 Cl 2.95, 8 P 3.05
5 Cl 0.0000 0.0000 0.5000  2 Co 2.23

(2)
The following is a DFT calculation (PBEsol) of crystalline Rh3Pb2Se2 at its relaxed geometry.

Properties
D(E_F) ... 3.06 states/eV per cell
Crystal system ... trigonal
Uncorrected formation energy ... -0.317 eV/atom
SG ... R-3m

a = 5.8162 Å, b = 5.8162 Å, c = 5.8162 Å
α = 58.81°, β = 58.81°, γ = 58.81°
Last column: nearest neighbours and their distance in Å.
Positions (direct):
1 Rh 0.0000 0.5000 0.5000  2 Se 2.41
2 Rh 0.5000 0.0000 0.5000  2 Se 2.41
3 Rh 0.5000 0.5000 0.0000  2 Se 2.41
4 Pb 0.0000 0.0000 0.0000  6 Rh 2.86, 2 Se 3.03
5 Pb 0.5000 0.5000 0.5000  6 Rh 2.91
6 Se 0.2107 0.2107 0.2107  3 Rh 2.41
7 Se 0.7893 0.7893 0.7893  3 Rh 2.41

(3)
The following is a DFT calculation (PBEsol) of crystalline DyMg2Ti3S8 at its relaxed geometry.

Properties
D(E_F) ... 7.44 states/eV per cell
Crystal system ... trigonal
Uncorrected formation energy ... -1.477 eV/atom
SG ... R-3m

a = 7.5318 Å, b = 7.5318 Å, c = 7.5318 Å
α = 56.68°, β = 56.68°, γ = 56.68°
Last column: nearest neighbours and their distance in Å.
Positions (direct):
1 Dy 0.0000 0.0000 0.0000  6 S 2.67
2 Mg 0.3683 0.3683 0.3683  4 S 2.40-2.43
3 Mg 0.6317 0.6317 0.6317  4 S 2.40-2.43
4 Ti 0.0000 0.0000 0.5000  6 S 2.45-2.49
5 Ti 0.0000 0.5000 0.0000  6 S 2.45-2.49
6 Ti 0.5000 0.0000 0.0000  6 S 2.45-2.49
7 S 0.2286 0.7449 0.7449  1 Mg 2.40, 2 Ti 2.45, 1 Dy 2.67
8 S 0.2399 0.2399 0.2399  1 Mg 2.43, 3 Ti 2.49
9 S 0.2551 0.2551 0.7714  1 Mg 2.40, 2 Ti 2.45, 1 Dy 2.67
10 S 0.2551 0.7714 0.2551  1 Mg 2.40, 2 Ti 2.45, 1 Dy 2.67
11 S 0.7449 0.2286 0.7449  1 Mg 2.40, 2 Ti 2.45, 1 Dy 2.67
12 S 0.7449 0.7449 0.2286  1 Mg 2.40, 2 Ti 2.45, 1 Dy 2.67
13 S 0.7601 0.7601 0.7601  1 Mg 2.43, 3 Ti 2.49
14 S 0.7714 0.2551 0.2551  1 Mg 2.40, 2 Ti 2.45, 1 Dy 2.67

(4)
The following is a DFT calculation (PBEsol) of crystalline CuSb at its relaxed geometry.

Properties
D(E_F) ... 1.79 states/eV per cell
Crystal system ... trigonal
Uncorrected formation energy ... 0.300 eV/atom
SG ... R-3m

a = 9.0947 Å, b = 9.0947 Å, c = 9.0947 Å
α = 20.20°, β = 20.20°, γ = 20.20°
Last column: nearest neighbours and their distance in Å.
Positions (direct):
1 Cu 0.1362 0.1362 0.1362  3 Cu 2.46, 3 Sb 2.70
2 Cu 0.8638 0.8638 0.8638  3 Cu 2.46, 3 Sb 2.70
3 Sb 0.3957 0.3957 0.3957  3 Cu 2.70
4 Sb 0.6043 0.6043 0.6043  3 Cu 2.70

(5)
The following is a DFT calculation (PBEsol) of crystalline SrBe2P at its relaxed geometry.

Properties
D(E_F) ... 1.46 states/eV per cell
Crystal system ... tetragonal
Energy of formation from the pure elements ... 0.50 eV per atom
SG ... I4/mmm

a = 4.9253 Å, b = 4.9253 Å, c = 4.9253 Å
α = 130.38°, β = 130.38°, γ = 72.80°
Last column: nearest neighbours and their distance in Å.
Positions (direct):
1 Sr 0.0000 0.0000 0.0000  8 Be 2.86, 4 P 2.92
2 Be 0.2500 0.7500 0.5000  4 P 2.86, 4 Sr 2.86, 4 Be 2.92
3 Be 0.7500 0.2500 0.5000  4 P 2.86, 4 Sr 2.86, 4 Be 2.92
4 P 0.5000 0.5000 0.0000  8 Be 2.86, 4 Sr 2.92

(6)
The following is a DFT calculation (PBEsol) of crystalline MgPRu at its relaxed geometry.

Properties
D(E_F) ... 1.35 states/eV per cell
Crystal system ... tetragonal
Energy of formation from the pure elements ... -0.48 eV per atom
SG ... I4mm

a = 5.3411 Å, b = 5.3411 Å, c = 5.3411 Å
α = 147.29°, β = 147.29°, γ = 46.93°
Last column: nearest neighbours and their distance in Å.
Positions (direct):
1 Mg 0.0000 0.0000 0.0000  5 P 2.86-2.98, 5 Ru 2.88-2.95, 4 Mg 3.01
2 P 0.6957 0.6957 0.0000  4 Ru 2.36
3 Ru 0.3012 0.3012 0.0000  4 P 2.36

(7)
The following is a DFT calculation (PBEsol) of crystalline TlSe3O at its relaxed geometry.

Properties
D(E_F) ... 3.29 states/eV per cell
Crystal system ... cubic
Uncorrected formation energy ... 0.244 eV/atom
SG ... Pm-3m

a = 4.5874 Å, b = 4.5874 Å, c = 4.5874 Å
α = 90.00°, β = 90.00°, γ = 90.00°
Last column: nearest neighbours and their distance in Å.
Positions (direct):
1 Tl 0.0000 0.0000 0.0000  12 Se 3.24
2 Se 0.0000 0.5000 0.5000  2 O 2.29
3 Se 0.5000 0.0000 0.5000  2 O 2.29
4 Se 0.5000 0.5000 0.0000  2 O 2.29
5 O 0.5000 0.5000 0.5000  6 Se 2.29

(8)
The following is a DFT calculation (PBEsol) of crystalline CrMoAs2 at its relaxed geometry.

Properties
D(E_F) ... 6.54 states/eV per cell
Crystal system ... orthorhombic
Energy of formation from the pure elements ... -0.23 eV per atom
Offset from the most stable computed form ... 0.00 eV per formula unit
SG ... Pmc2_1

a = 3.2624 Å, b = 6.2425 Å, c = 5.7849 Å
α = 90.00°, β = 90.00°, γ = 90.00°
Last column: nearest neighbours and their distance in Å.
Positions (direct):
1 Cr 0.0000 0.0672 0.0000  6 As 2.39-2.52
2 Cr 0.0000 0.9328 0.5000  6 As 2.39-2.52
3 Mo 0.5000 0.4379 0.0211  6 As 2.50-2.68
4 Mo 0.5000 0.5621 0.5211  6 As 2.50-2.68
5 As 0.0000 0.3023 0.3268  2 Cr 2.39-2.52, 4 Mo 2.55-2.56
6 As 0.0000 0.6977 0.8268  2 Cr 2.39-2.52, 4 Mo 2.55-2.56
7 As 0.5000 0.1666 0.7021  4 Cr 2.45-2.48, 2 Mo 2.50-2.68
8 As 0.5000 0.8334 0.2021  4 Cr 2.45-2.48, 2 Mo 2.50-2.68

(9)
The following is a DFT calculation (PBEsol) of crystalline GeSb2TeN at its relaxed geometry.

Properties
D(E_F) ... 2.52 states/eV per cell
Crystal system ... tetragonal
Offset from the most stable computed form ... 0.00 eV per formula unit
Uncorrected formation energy ... 0.548 eV/atom
SG ... P4/mmm

a = 4.7721 Å, b = 4.7721 Å, c = 4.5965 Å
α = 90.00°, β = 90.00°, γ = 90.00°
Last column: nearest neighbours and their distance in Å.
Positions (direct):
1 Ge 0.0000 0.0000 0.0000  8 Sb 3.31, 4 Te 3.37
2 Sb 0.0000 0.5000 0.5000  2 N 2.39
3 Sb 0.5000 0.0000 0.5000  2 N 2.39
4 Te 0.5000 0.5000 0.0000  2 N 2.30
5 N 0.5000 0.5000 0.5000  2 Te 2.30, 4 Sb 2.39

(10)
The following is a DFT calculation (PBEsol) of crystalline ZrHgAsSe2 at its relaxed geometry.

Properties
D(E_F) ... 4.61 states/eV per cell
Crystal system ... tetragonal
Uncorrected formation energy ... -0.146 eV/atom
SG ... P4/mmm

a = 5.1009 Å, b = 5.1009 Å, c = 5.2782 Å
α = 90.00°, β = 90.00°, γ = 90.00°
Last column: nearest neighbours and their distance in Å.
Positions (direct):
1 Zr 0.0000 0.0000 0.0000  4 Se 2.55, 2 As 2.64
2 Hg 0.5000 0.5000 0.5000  4 As 3.61, 8 Se 3.67
3 As 0.0000 0.0000 0.5000  2 Zr 2.64
4 Se 0.0000 0.5000 0.0000  2 Zr 2.55
5 Se 0.5000 0.0000 0.0000  2 Zr 2.55

(11)
The following is a DFT calculation (PBEsol) of crystalline MgIn2Ni at its relaxed geometry.

Properties
D(E_F) ... 1.83 states/eV per cell
Crystal system ... orthorhombic
Energy of formation from the pure elements ... -0.11 eV per atom
SG ... Imm2

a = 6.8059 Å, b = 6.8059 Å, c = 6.8059 Å
α = 155.36°, β = 143.04°, γ = 44.93°
Last column: nearest neighbours and their distance in Å.
Positions (direct):
1 Mg 0.0000 0.0000 0.0000  2 Ni 2.70, 2 Mg 2.90
2 In 0.3647 0.3647 0.0000  2 Ni 2.73, 2 In 2.90
3 In 0.6779 0.1779 0.5000  4 Ni 2.60, 2 In 2.90
4 Ni 0.1809 0.6809 0.5000  6 In 2.60-2.73, 2 Mg 2.70, 2 Ni 2.90

(12)
The following is a DFT calculation (PBEsol) of crystalline KSc2GeIr at its relaxed geometry.

Properties
D(E_F) ... 5.91 states/eV per cell
Crystal system ... tetragonal
Energy of formation from the pure elements ... 0.35 eV per atom
SG ... P4/mmm

a = 4.9544 Å, b = 4.9544 Å, c = 5.6331 Å
α = 90.00°, β = 90.00°, γ = 90.00°
Last column: nearest neighbours and their distance in Å.
Positions (direct):
1 K 0.0000 0.0000 0.0000  2 Ir 2.82
2 Sc 0.0000 0.5000 0.5000  2 Ir 2.48
3 Sc 0.5000 0.0000 0.5000  2 Ir 2.48
4 Ge 0.5000 0.5000 0.0000  4 K 3.50, 8 Sc 3.75
5 Ir 0.0000 0.0000 0.5000  4 Sc 2.48

(13)
The following is a DFT calculation (PBEsol) of crystalline Al4Cl5 at its relaxed geometry.

Properties
D(E_F) ... 1.32 states/eV per cell
Crystal system ... tetragonal
Uncorrected formation energy ... -0.393 eV/atom
SG ... I4/mmm

a = 8.8582 Å, b = 8.8582 Å, c = 8.8582 Å
α = 92.27°, β = 92.27°, γ = 157.02°
Last column: nearest neighbours and their distance in Å.
Positions (direct):
1 Al 0.0000 0.2144 0.2144  5 Cl 2.63-2.70
2 Al 0.0000 0.7856 0.7856  5 Cl 2.63-2.70
3 Al 0.2144 0.0000 0.2144  5 Cl 2.63-2.70
4 Al 0.7856 0.0000 0.7856  5 Cl 2.63-2.70
5 Cl 0.0000 0.0000 0.0000  4 Al 2.63
6 Cl 0.3434 0.3434 0.6869  4 Al 2.70
7 Cl 0.3434 0.6566 0.0000  4 Al 2.70
8 Cl 0.6566 0.3434 0.0000  4 Al 2.70
9 Cl 0.6566 0.6566 0.3131  4 Al 2.70

(14)
The following is a DFT calculation (PBEsol) of crystalline SrAgSF at its relaxed geometry.

Properties
Crystal system ... tetragonal
Uncorrected formation energy ... -2.069 eV/atom
SG ... P4/nmm

a = 4.0384 Å, b = 4.0384 Å, c = 8.9135 Å
α = 90.00°, β = 90.00°, γ = 90.00°
Last column: nearest neighbours and their distance in Å.
Positions (direct):
1 Sr 0.2500 0.2500 0.1584  4 F 2.46
2 Sr 0.7500 0.7500 0.8416  4 F 2.46
3 Ag 0.2500 0.7500 0.5000  4 S 2.64, 4 Ag 2.86
4 Ag 0.7500 0.2500 0.5000  4 S 2.64, 4 Ag 2.86
5 S 0.2500 0.2500 0.6914  4 Ag 2.64
6 S 0.7500 0.7500 0.3086  4 Ag 2.64
7 F 0.2500 0.7500 0.0000  4 Sr 2.46
8 F 0.7500 0.2500 0.0000  4 Sr 2.46

(15)
The following is a DFT calculation (PBEsol) of crystalline LiCdFeHg2 at its relaxed geometry.

Properties
D(E_F) ... 5.22 states/eV per cell
Crystal system ... tetragonal
Energy of formation from the pure elements ... 0.94 eV per atom
SG ... P4/mmm

a = 5.2036 Å, b = 5.2036 Å, c = 4.7457 Å
α = 90.00°, β = 90.00°, γ = 90.00°
Last column: nearest neighbours and their distance in Å.
Positions (direct):
1 Li 0.0000 0.0000 0.0000  2 Cd 2.37
2 Cd 0.0000 0.0000 0.5000  2 Li 2.37, 4 Hg 2.60
3 Fe 0.5000 0.5000 0.0000  8 Hg 3.52, 4 Li 3.68
4 Hg 0.0000 0.5000 0.5000  2 Cd 2.60
5 Hg 0.5000 0.0000 0.5000  2 Cd 2.60

(16)
The following is a DFT calculation (PBEsol) of crystalline ZrTc2Sb at its relaxed geometry.

Properties
D(E_F) ... 3.92 states/eV per cell
Crystal system ... tetragonal
Uncorrected formation energy ... -0.057 eV/atom
SG ... P4mm

a = 3.0520 Å, b = 3.0520 Å, c = 7.5237 Å
α = 90.00°, β = 90.00°, γ = 90.00°
Last column: nearest neighbours and their distance in Å.
Positions (direct):
1 Zr 0.0000 0.0000 0.0000  4 Tc 2.89, 4 Zr 3.05, 4 Sb 3.14
2 Tc 0.0000 0.0000 0.5509  4 Tc 2.61, 4 Sb 2.85
3 Tc 0.5000 0.5000 0.7450  4 Tc 2.61, 4 Zr 2.89
4 Sb 0.5000 0.5000 0.3026  4 Tc 2.85, 4 Sb 3.05, 4 Zr 3.14

(17)
The following is a DFT calculation (PBEsol) of crystalline Ag2Pt2Pb at its relaxed geometry.

Properties
D(E_F) ... 1.71 states/eV per cell
Crystal system ... tetragonal
Energy of formation from the pure elements ... 0.17 eV per atom
SG ... I4/mmm

a = 7.0096 Å, b = 7.0096 Å, c = 7.0096 Å
α = 148.09°, β = 148.09°, γ = 45.75°
Last column: nearest neighbours and their distance in Å.
Positions (direct):
1 Ag 0.2500 0.7500 0.5000  4 Ag 2.72, 4 Pt 2.73
2 Ag 0.7500 0.2500 0.5000  4 Ag 2.72, 4 Pt 2.73
3 Pt 0.1002 0.1002 0.0000  1 Pt 2.59, 4 Ag 2.73
4 Pt 0.8998 0.8998 0.0000  1 Pt 2.59, 4 Ag 2.73
5 Pb 0.5000 0.5000 0.0000  8 Pt 3.02

(18)
The following is a DFT calculation (PBEsol) of crystalline Be3Sb at its relaxed geometry.

Properties
D(E_F) ... 3.31 states/eV per cell
Crystal system ... hexagonal
Offset from the most stable computed form ... 0.42 eV per formula unit
Uncorrected formation energy ... 0.506 eV/atom
SG ... P6_3/mmc

a = 5.7358 Å, b = 5.7358 Å, c = 3.7240 Å
α = 90.00°, β = 90.00°, γ = 120.00°
Last column: nearest neighbours and their distance in Å.
Positions (direct):
1 Be 0.1294 0.2589 0.2500  6 Be 2.23-2.26
2 Be 0.1294 0.8706 0.2500  6 Be 2.23-2.26
3 Be 0.2589 0.1294 0.7500  6 Be 2.23-2.26
4 Be 0.7411 0.8706 0.2500  6 Be 2.23-2.26
5 Be 0.8706 0.1294 0.7500  6 Be 2.23-2.26
6 Be 0.8706 0.7411 0.7500  6 Be 2.23-2.26
7 Sb 0.3333 0.6667 0.7500  12 Be 2.75-2.89
8 Sb 0.6667 0.3333 0.2500  12 Be 2.75-2.89

(19)
The following is a DFT calculation (PBEsol) of crystalline ScTaBi2 at its relaxed geometry.

Properties
D(E_F) ... 11.11 states/eV per cell
Crystal system ... tetragonal
Energy of formation from the pure elements ... 0.76 eV per atom
SG ... I-42d

a = 7.9495 Å, b = 7.9495 Å, c = 7.9495 Å
α = 131.52°, β = 131.52°, γ = 70.98°
Last column: nearest neighbours and their distance in Å.
Positions (direct):
1 Sc 0.0000 0.0000 0.0000  4 Bi 2.89
2 Sc 0.7500 0.2500 0.5000  4 Bi 2.89
3 Ta 0.2500 0.7500 0.5000  4 Bi 2.75
4 Ta 0.5000 0.5000 0.0000  4 Bi 2.75
5 Bi 0.1427 0.6250 0.0177  2 Ta 2.75, 2 Sc 2.89
6 Bi 0.3750 0.3927 0.5177  2 Ta 2.75, 2 Sc 2.89
7 Bi 0.6073 0.1250 0.9823  2 Ta 2.75, 2 Sc 2.89
8 Bi 0.8750 0.8573 0.4823  2 Ta 2.75, 2 Sc 2.89

(20)
The following is a DFT calculation (PBEsol) of crystalline As2PtPbBr at its relaxed geometry.

Properties
D(E_F) ... 5.63 states/eV per cell
Crystal system ... tetragonal
Uncorrected formation energy ... 1.473 eV/atom
SG ... P4/mmm

a = 5.3012 Å, b = 5.3012 Å, c = 5.2699 Å
α = 90.00°, β = 90.00°, γ = 90.00°
Last column: nearest neighbours and their distance in Å.
Positions (direct):
1 As 0.0000 0.5000 0.0000  2 Pb 2.65
2 As 0.5000 0.0000 0.0000  2 Pb 2.65
3 Pt 0.0000 0.0000 0.5000  8 As 3.74, 4 Br 3.75
4 Pb 0.5000 0.5000 0.0000  2 Br 2.63, 4 As 2.65
5 Br 0.5000 0.5000 0.5000  2 Pb 2.63